# AsBr3F6

An optimized crystal structure of AsBr3F6 (PBE, Alexandria).

Properties
As for the total magnetization: 0.00 μB per atom.

Cell lengths 5.8363, 7.8985, 9.9556 Å; angles 88.15, 82.34, 82.94 degrees
With the nearest neighbours (Å) after each atom.
Space group P-1 (No. 2)
Symmetry-distinct sites (fractional):
As1 0.0703 0.2198 0.1960  6 F 1.75-1.81
Br1 0.3013 0.2218 0.5436  1 Br 2.34, 1 F 2.46
Br2 0.3149 0.2045 0.7772  2 Br 2.33-2.34
Br3 0.4154 0.6132 0.1863  1 Br 2.33, 1 F 2.48
F1 0.0404 0.0066 0.2504  1 As 1.77
F2 0.1123 0.4358 0.1422  1 As 1.81
F3 0.1250 0.7004 0.6643  1 As 1.76
F4 0.1532 0.7772 0.9055  1 As 1.75
F5 0.2809 0.1443 0.0591  1 As 1.77
F6 0.3080 0.2195 0.2958  1 As 1.81

# As3BrF

An optimized crystal structure of As3BrF (PBE, Alexandria).

Properties
The value obtained for the energy relative to the lowest polymorph listed for this composition is 518 meV per atom. As for the total magnetization: 0.00 μB per atom.

Cell lengths 5.0921, 5.0921, 5.0921 Å; angles 90.00, 90.00, 90.00 degrees
With the nearest neighbours (Å) after each atom.
Space group Pm-3m (No. 221)
Symmetry-distinct sites (fractional):
As1 0.0000 0.0000 0.5000  2 Br 2.55
Br1 0.0000 0.0000 0.0000  6 As 2.55
F1 0.5000 0.5000 0.5000  12 As 3.60

no.,formation energy (no corrections) (eV per atom)
1,-1.403
2,1.091